Entry 1:
A relaxed structure of Na2Sb3Pd5, computed with GGA-PBE.

Summary:
- E (eV/atom) = -4.522
- mass density (kg/m3) = 7880

Cell lengths 4.518, 7.076, 12.640 Å; angles 90.00, 100.29, 90.00 degrees
Atoms (fractional coordinates):
Na (0.484, 0.692, 0.968)
Na (0.176, 0.790, 0.353)
Na (0.824, 0.290, 0.647)
Na (0.516, 0.192, 0.032)
Sb (0.773, 0.825, 0.546)
Sb (0.613, 0.439, 0.226)
Sb (0.049, 0.922, 0.098)
Sb (0.227, 0.325, 0.454)
Sb (0.951, 0.422, 0.902)
Sb (0.387, 0.939, 0.774)
Pd (0.402, 0.318, 0.803)
Pd (0.301, 0.611, 0.601)
Pd (0.699, 0.111, 0.399)
Pd (0.124, 0.203, 0.247)
Pd (0.283, 0.020, 0.566)
Pd (0.942, 0.046, 0.885)
Pd (0.717, 0.520, 0.434)
Pd (0.876, 0.703, 0.753)
Pd (0.058, 0.546, 0.115)
Pd (0.598, 0.818, 0.197)

Entry 2:
A relaxed structure of NaSbPd2, computed with GGA-PBE.

Summary:
- E (eV/atom) = -4.070
- mass density (kg/m3) = 7012

Cell lengths 7.521, 7.521, 6.103 Å; angles 51.96, 51.96, 90.00 degrees
Atoms (fractional coordinates):
Sb (0.000, 0.000, 0.000)
Sb (0.750, 0.250, 0.500)
Pd (0.658, 0.125, 0.250)
Pd (0.092, 0.625, 0.250)
Pd (0.375, 0.342, 0.750)
Pd (0.875, 0.908, 0.750)
Na (0.500, 0.500, 0.000)
Na (0.250, 0.750, 0.500)

Entry 3:
A relaxed structure of NaSb2Pd6, computed with GGA-PBE.

Summary:
- mass density (kg/m3) = 9658
- energy above the most stable polymorph in this dataset (kJ/mol of formula units) = 0

Cell lengths 4.587, 4.587, 8.540 Å; angles 90.00, 90.00, 120.00 degrees
Atoms (fractional coordinates):
Na (0.000, 0.000, 0.500)
Sb (0.333, 0.667, 0.723)
Sb (0.667, 0.333, 0.277)
Pd (0.667, 0.333, 0.970)
Pd (0.333, 0.667, 0.030)
Pd (0.000, 0.000, 0.168)
Pd (0.333, 0.667, 0.354)
Pd (0.000, 0.000, 0.832)
Pd (0.667, 0.333, 0.646)

Entry 4:
A relaxed structure of Na3Sb2Pd6, computed with GGA-PBE.

Summary:
- E (eV/atom) = -4.302
- mass density (kg/m3) = 6736

Cell lengths 8.477, 8.477, 8.477 Å; angles 109.47, 109.47, 109.47 degrees
Atoms (fractional coordinates):
Na (0.685, 0.000, 0.685)
Na (0.315, 0.000, 0.315)
Na (0.000, 0.315, 0.315)
Na (0.000, 0.685, 0.685)
Na (0.315, 0.315, 0.000)
Na (0.685, 0.685, 0.000)
Sb (0.000, 0.500, 0.000)
Sb (0.500, 0.000, 0.000)
Sb (0.000, 0.000, 0.500)
Sb (0.500, 0.500, 0.500)
Pd (0.680, 0.360, 0.680)
Pd (0.680, 0.000, 0.320)
Pd (0.320, 0.000, 0.680)
Pd (0.320, 0.640, 0.320)
Pd (0.000, 0.680, 0.320)
Pd (0.640, 0.320, 0.320)
Pd (0.360, 0.680, 0.680)
Pd (0.000, 0.320, 0.680)
Pd (0.320, 0.680, 0.000)
Pd (0.680, 0.680, 0.360)
Pd (0.320, 0.320, 0.640)
Pd (0.680, 0.320, 0.000)

Entry 5:
A relaxed structure of Na12Sb7Pd, computed with GGA-PBE.

Summary:
- E (eV/atom) = -2.763
- mass density (kg/m3) = 3492

Cell lengths 8.792, 8.792, 8.792 Å; angles 105.55, 105.55, 105.55 degrees
Atoms (fractional coordinates):
Na (0.795, 0.337, 0.639)
Na (0.663, 0.361, 0.205)
Na (0.378, 0.081, 0.282)
Na (0.919, 0.718, 0.622)
Na (0.361, 0.205, 0.663)
Na (0.718, 0.622, 0.919)
Na (0.282, 0.378, 0.081)
Na (0.639, 0.795, 0.337)
Na (0.081, 0.282, 0.378)
Na (0.622, 0.919, 0.718)
Na (0.337, 0.639, 0.795)
Na (0.205, 0.663, 0.361)
Sb (0.104, 0.714, 0.997)
Sb (0.286, 0.003, 0.896)
Sb (0.003, 0.896, 0.286)
Sb (0.500, 0.500, 0.500)
Sb (0.997, 0.104, 0.714)
Sb (0.714, 0.997, 0.104)
Sb (0.896, 0.286, 0.003)
Pd (0.000, 0.000, 0.000)

Entry 6:
A relaxed structure of NaSb4Pd6, computed with GGA-PBE.

Summary:
- mass density (kg/m3) = 8730
- energy above the most stable polymorph in this dataset (kJ/mol of formula units) = 0

Cell lengths 4.183, 7.766, 7.766 Å; angles 120.00, 90.00, 90.00 degrees
Atoms (fractional coordinates):
Na (0.000, 0.000, 0.000)
Sb (0.500, 0.815, 0.630)
Sb (0.500, 0.370, 0.185)
Sb (0.500, 0.815, 0.185)
Sb (0.000, 0.333, 0.667)
Pd (0.000, 0.539, 0.079)
Pd (0.500, 0.592, 0.796)
Pd (0.000, 0.539, 0.461)
Pd (0.000, 0.921, 0.461)
Pd (0.500, 0.204, 0.796)
Pd (0.500, 0.204, 0.408)

Entry 7:
A relaxed structure of NaSbPd2, computed with GGA-PBE.

Summary:
- E (eV/atom) = -3.878
- mass density (kg/m3) = 7069

Cell lengths 6.257, 6.257, 6.257 Å; angles 56.58, 152.55, 131.55 degrees
Atoms (fractional coordinates):
Na (0.000, 0.000, 0.000)
Sb (0.000, 0.500, 0.500)
Pd (0.000, 0.266, 0.266)
Pd (0.000, 0.734, 0.734)

Entry 8:
A relaxed structure of NaSbPd, computed with GGA-PBE.

Summary:
- E (eV/atom) = -4.039
- mass density (kg/m3) = 6072

Cell lengths 3.253, 6.520, 6.678 Å; angles 90.00, 75.94, 90.00 degrees
Atoms (fractional coordinates):
Na (0.870, 0.955, 0.310)
Na (0.545, 0.455, 0.962)
Sb (0.593, 0.954, 0.864)
Sb (0.820, 0.455, 0.408)
Pd (0.207, 0.204, 0.636)
Pd (0.207, 0.704, 0.636)

Magnetization across the listed records, respectively: 0.00, 0.00, 0.00, 0.00, 0.00, 0.00, 0.00, 0.00 μB per atom.